(1)
A plane-wave DFT calculation with PBE-GGA was carried out for a relaxed ZnAgGe3 crystal.

The total magnetic moment is 0.000 μB per atom. Its calculated formation energy is 0.6507 eV per atom. Its offset from the most stable computed form is 0.000 eV per atom.

The space group is Pm-3m (No. 221) and the conventional cell measures 4.846, 4.846 and 4.846 Å, with angles of 90.00, 90.00 and 90.00 degrees. The inequivalent atoms are Zn at (0.000, 0.000, 0.000), Ag at (0.500, 0.500, 0.500) and Ge at (0.000, 0.000, 0.500).


(2)
A plane-wave DFT calculation with PBE-GGA was carried out for a relaxed Zn2AgGe crystal.

The total magnetic moment is 0.000 μB per atom. Its calculated formation energy is 0.1143 eV per atom.

The space group is P4/mmm (No. 123) and the conventional cell measures 4.095, 4.095 and 4.017 Å, with angles of 90.00, 90.00 and 90.00 degrees. The inequivalent atoms are Zn at (0.000, 0.500, 0.000), Ag at (0.000, 0.000, 0.500) and Ge at (0.500, 0.500, 0.500).


(3)
A plane-wave DFT calculation with PBE-GGA was carried out for a relaxed ZnAg2Ge crystal.

The total magnetic moment is 0.000 μB per atom. Its calculated formation energy is 0.1485 eV per atom. Its offset from the most stable computed form is 0.059 eV per atom.

The space group is Fm-3m (No. 225) and the conventional cell measures 6.551, 6.551 and 6.551 Å, with angles of 90.00, 90.00 and 90.00 degrees. The inequivalent atoms are Zn at (0.000, 0.000, 0.000), Ag at (0.250, 0.250, 0.250) and Ge at (0.000, 0.000, 0.500).


(4)
A plane-wave DFT calculation with PBE-GGA was carried out for a relaxed Zn3AgGe crystal.

The total magnetic moment is 0.000 μB per atom. Its calculated formation energy is 0.5756 eV per atom. Its offset from the most stable computed form is 0.065 eV per atom.

The space group is Pm-3m (No. 221) and the conventional cell measures 4.840, 4.840 and 4.840 Å, with angles of 90.00, 90.00 and 90.00 degrees. The inequivalent atoms are Zn at (0.000, 0.000, 0.500), Ag at (0.000, 0.000, 0.000) and Ge at (0.500, 0.500, 0.500).


(5)
A plane-wave DFT calculation with PBE-GGA was carried out for a relaxed Zn3AgGe crystal.

The total magnetic moment is 0.000 μB per atom. Its calculated formation energy is 0.5111 eV per atom. Its offset from the most stable computed form is 0.000 eV per atom.

The space group is Pm-3m (No. 221) and the conventional cell measures 4.848, 4.848 and 4.848 Å, with angles of 90.00, 90.00 and 90.00 degrees. The inequivalent atoms are Zn at (0.000, 0.000, 0.500), Ag at (0.500, 0.500, 0.500) and Ge at (0.000, 0.000, 0.000).


(6)
A plane-wave DFT calculation with PBE-GGA was carried out for a relaxed Zn2AgGe crystal.

The total magnetic moment is 0.000 μB per atom. Its calculated formation energy is 0.2379 eV per atom.

The space group is I-42d (No. 122) and the conventional cell measures 7.412, 7.412 and 5.383 Å, with angles of 90.00, 90.00 and 90.00 degrees. The inequivalent atoms are Zn at (0.238, 0.750, 0.125), Ag at (0.000, 0.000, 0.500) and Ge at (0.000, 0.000, 0.000).


(7)
A plane-wave DFT calculation with PBE-GGA was carried out for a relaxed Zn4AgGe crystal.

The total magnetic moment is 0.000 μB per atom. Its calculated formation energy is 0.0985 eV per atom.

The space group is F-43m (No. 216) and the conventional cell measures 7.348, 7.348 and 7.348 Å, with angles of 90.00, 90.00 and 90.00 degrees. The inequivalent atoms are Zn at (0.125, 0.125, 0.125), Ag at (0.000, 0.000, 0.500) and Ge at (0.250, 0.250, 0.750).


(8)
A plane-wave DFT calculation with PBE-GGA was carried out for a relaxed ZnAgGe crystal.

The total magnetic moment is 0.000 μB per atom. Its calculated formation energy is 0.1394 eV per atom. Its offset from the most stable computed form is 0.020 eV per atom.

The space group is F-43m (No. 216) and the conventional cell measures 6.165, 6.165 and 6.165 Å, with angles of 90.00, 90.00 and 90.00 degrees. The inequivalent atoms are Zn at (0.000, 0.000, 0.000), Ag at (0.000, 0.000, 0.500) and Ge at (0.250, 0.250, 0.250).


(9)
A plane-wave DFT calculation with PBE-GGA was carried out for a relaxed Zn2AgGe crystal.

The total magnetic moment is 0.000 μB per atom. Its calculated formation energy is 0.1484 eV per atom.

The space group is R3m (No. 160, hexagonal axes) and the conventional cell measures 4.3596, 4.3596 and 13.6188 Å, with angles of 90.00, 90.00 and 120.00 degrees. The inequivalent atoms are Zn at (0.0000, 0.0000, 0.0000), Zn at (0.0000, 0.0000, 0.1923), Ag at (0.0000, 0.0000, 0.6020) and Ge at (0.0000, 0.0000, 0.4019).


(10)
A plane-wave DFT calculation with PBE-GGA was carried out for a relaxed Zn6Ag8Ge crystal.

The total magnetic moment is 0.000 μB per atom. Its calculated formation energy is 0.0853 eV per atom.

The space group is R-3 (No. 148, hexagonal axes) and the conventional cell measures 7.5585, 7.5585 and 16.5317 Å, with angles of 90.00, 90.00 and 120.00 degrees. The inequivalent atoms are Zn at (0.0040, 0.3288, 0.0537), Ag at (0.0000, 0.0000, 0.3289), Ag at (0.0034, 0.3468, 0.8823) and Ge at (0.0000, 0.0000, 0.0000).